# 1
{
  "formula": "AlV2O4",
  "functional": "PBE+U",
  "state": "optimized geometry",
  "lattice_angstrom": [[5.138, -2.991, 0.000], [5.138, 2.991, 0.000], [-3.265, 0.000, 9.706]],
  "species": ["Al", "Al", "Al", "Al", "V", "V", "V", "V", "V", "V", "V", "V", "O", "O", "O", "O", "O", "O", "O", "O", "O", "O", "O", "O", "O", "O", "O", "O"],
  "frac_coords": [[0.242, 0.758, 0.500], [0.377, 0.870, 0.874], [0.758, 0.242, 0.000], [0.870, 0.377, 0.374], [0.078, 0.551, 0.945], [0.304, 0.325, 0.184], [0.320, 0.819, 0.190], [0.325, 0.304, 0.684], [0.551, 0.078, 0.445], [0.798, 0.820, 0.190], [0.819, 0.320, 0.690], [0.820, 0.798, 0.690], [0.178, 0.701, 0.313], [0.180, 0.199, 0.312], [0.199, 0.180, 0.812], [0.200, 0.675, 0.814], [0.431, 0.947, 0.060], [0.438, 0.450, 0.565], [0.439, 0.932, 0.565], [0.450, 0.438, 0.065], [0.675, 0.200, 0.314], [0.680, 0.697, 0.320], [0.697, 0.680, 0.820], [0.701, 0.178, 0.813], [0.932, 0.439, 0.065], [0.935, 0.945, 0.567], [0.945, 0.935, 0.067], [0.947, 0.431, 0.560]],
  "vol_a3_per_cell": 298.3,
  "e_above_lowest_polymorph_mev_per_atom": 2
}

***

# 2
{
  "formula": "VP2O",
  "functional": "PBE+U",
  "state": "optimized geometry",
  "lattice_angstrom": [[-2.850, 2.850, 3.690], [2.850, -2.850, 3.690], [2.850, 2.850, -3.690]],
  "species": ["V", "V", "P", "P", "P", "P", "O", "O"],
  "frac_coords": [[0.000, 0.000, 0.000], [0.750, 0.250, 0.500], [0.188, 0.625, 0.063], [0.375, 0.438, 0.563], [0.562, 0.125, 0.937], [0.875, 0.812, 0.437], [0.250, 0.750, 0.500], [0.500, 0.500, 0.000]],
  "vol_a3_per_cell": 119.9,
  "energy_ev_per_atom": -5.362
}